(1)
The following is a DFT calculation (PBE) of a relaxed ZrZn2Ir crystal.

Properties
ΔH_f (0 K) in eV/f.u.: -1.3

Cell: 9.2389 3.1311 4.7147 Å, 90.00 102.22 90.00°
Closest atoms and distances in Å follow each position.
Space group C2/m (No. 12)
Asymmetric unit:
Zr 0.0000 0.0000 0.0000  6 Zn 2.81-2.94, 4 Ir 2.83, 2 Zr 3.13
Zn 0.2401 0.0000 0.7197  2 Zn 2.63, 3 Ir 2.73-2.81, 3 Zr 2.81-2.94
Ir 0.0000 0.5000 0.5000  6 Zn 2.73-2.81, 4 Zr 2.83


(2)
The following is a DFT calculation (PBE) of a relaxed Ti5AlIn4 crystal.

Properties
Offset from the most stable computed form in eV/atom: 0.270
ΔH_f (0 K) in eV/f.u.: 0.7

Cell: 9.2989 9.2989 4.7459 Å, 90.00 90.00 90.00°
Closest atoms and distances in Å follow each position.
Space group I4mm (No. 107)
Asymmetric unit:
Ti 0.0000 0.0000 0.0000  2 Al 2.36-2.39
Ti 0.1871 0.1871 0.6621  1 Al 2.57
Al 0.0000 0.0000 0.5035  6 Ti 2.36-2.57
In 0.0000 0.3046 0.1700  7 Ti 2.91-3.17, 1 Al 3.24


(3)
The following is a DFT calculation (PBE) of a relaxed Rb3USb3Se8 crystal.

Properties
Uncorrected formation energy in eV/atom: -0.7873

Cell: 8.4625 8.4625 24.4995 Å, 90.00 90.00 120.00°
Closest atoms and distances in Å follow each position.
Space group R-3m (No. 166, hexagonal axes)
Asymmetric unit:
Rb 0.0000 0.5000 0.0000  6 Se 3.48-3.50
U 0.0000 0.0000 0.5000  6 Se 2.86
Sb 0.0000 0.5000 0.5000  6 Se 2.92
Se 0.0000 0.0000 0.2323  3 Sb 2.92
Se 0.0065 0.5032 0.2301  1 U 2.86, 2 Sb 2.92


(4)
The following is a DFT calculation (PBE) of a relaxed Be2TcAu crystal.

Properties
Offset from the most stable computed form in eV/atom: 0.213
ΔH_f (0 K) in eV/f.u.: 0.4

Cell: 7.7720 2.6571 5.0595 Å, 90.00 99.24 90.00°
Closest atoms and distances in Å follow each position.
Space group C2/m (No. 12)
Asymmetric unit:
Be 0.2501 0.0000 0.2029  3 Tc 2.34-2.44, 2 Be 2.45
Tc 0.0000 0.5000 0.0000  6 Be 2.34-2.44
Au 0.0000 0.0000 0.5000  6 Be 2.62-2.64, 2 Au 2.66, 4 Tc 2.86


(5)
The following is a DFT calculation (PBE) of a relaxed Li2ZrCo crystal.

Properties
Offset from the most stable computed form in eV/atom: 0.116
ΔH_f (0 K) in eV/f.u.: 0.7

Cell: 3.5681 3.5681 20.5247 Å, 90.00 90.00 90.00°
Closest atoms and distances in Å follow each position.
Space group I-42d (No. 122)
Asymmetric unit:
Li 0.2127 0.2500 0.1250  2 Li 2.34
Zr 0.0000 0.0000 0.5000  4 Co 2.52
Co 0.0000 0.0000 0.0000  4 Zr 2.52, 4 Li 2.82


| no. | E_tot (eV/atom) |
| --- | --- |
| 1 | -5.306 |
| 2 | -5.344 |
| 3 | -4.416 |
| 4 | -5.172 |
| 5 | -4.696 |